This record from Alexandria describes crystalline BaInRe at its relaxed geometry. The functional is PBE-GGA.

Properties
* energy above the lowest structure with this stoichiometry: 0.0 meV/atom
* volume: 81.8 Å³ per cell

a = 6.503 Å, b = 6.503 Å, c = 3.708 Å
α = 73.43°, β = 73.43°, γ = 33.14°
Fractional positions:
Ba (0.006, 0.006, 0.994)
In (0.281, 0.281, 0.719)
Re (0.713, 0.713, 0.287)



This record from Alexandria describes crystalline BaIn4Re at its relaxed geometry. The functional is PBE-GGA.

Properties
* volume: 153.9 Å³ per cell

a = 6.015 Å, b = 6.015 Å, c = 6.015 Å
α = 60.00°, β = 60.00°, γ = 60.00°
Site moments in Bohr magnetons follow the coordinates.
Fractional positions:
Ba (0.000, 0.000, 0.000)  -0.04
In (0.872, 0.376, 0.376)  -0.01
In (0.376, 0.376, 0.872)  -0.01
In (0.376, 0.872, 0.376)  -0.01
In (0.376, 0.376, 0.376)  -0.01
Re (0.750, 0.750, 0.750)  0.97



This record from Alexandria describes crystalline BaInRe at its relaxed geometry. The functional is PBE-GGA.

Properties
* energy above the lowest structure with this stoichiometry: 355.7 meV/atom
* volume: 83.9 Å³ per cell

a = 4.915 Å, b = 4.915 Å, c = 4.915 Å
α = 60.00°, β = 60.00°, γ = 60.00°
Fractional positions:
Ba (0.000, 0.000, 0.000)
In (0.500, 0.500, 0.500)
Re (0.750, 0.750, 0.750)



no.,formation energy from the elements (eV per formula unit)
1,2.167
2,3.461
3,3.234